*one*
# CaY3Se4, relaxed, DFT PBE-GGA
# DOS at the Fermi energy: 3.09 states/eV/cell
# Calculated volume: 196.3 Å³ per cell
# Magnetization: 0.00 μB/cell
data_CaY3Se4
_chemical_formula_sum 'Ca1 Y3 Se4'
_space_group_name_H-M_alt 'P 1'
_space_group_IT_number 1
_space_group_name_Hall 'P 1'
_cell_length_a 4.093
_cell_length_b 7.125
_cell_length_c 7.125
_cell_angle_alpha 109.15
_cell_angle_beta 90.00
_cell_angle_gamma 90.00
loop_
_atom_site_label
_atom_site_fract_x
_atom_site_fract_y
_atom_site_fract_z
Se1 0.000 0.251 0.251
Se2 0.500 0.250 0.750
Y1 0.000 0.000 0.500
Y2 0.000 0.500 0.000
Ca1 0.500 0.000 0.000
Se3 0.000 0.749 0.749
Se4 0.500 0.750 0.250
Y3 0.500 0.500 0.500



*two*
# CaY3Se4, relaxed, DFT PBE-GGA
# DOS at the Fermi energy: 1.59 states/eV/cell
# Calculated volume: 195.8 Å³ per cell
# Magnetization: 0.00 μB/cell
data_CaY3Se4
_chemical_formula_sum 'Ca1 Y3 Se4'
_space_group_name_H-M_alt 'P 1'
_space_group_IT_number 1
_space_group_name_Hall 'P 1'
_cell_length_a 5.799
_cell_length_b 5.799
_cell_length_c 7.120
_cell_angle_alpha 114.03
_cell_angle_beta 114.03
_cell_angle_gamma 90.00
loop_
_atom_site_label
_atom_site_fract_x
_atom_site_fract_y
_atom_site_fract_z
Se1 0.500 0.000 0.000
Se2 0.248 0.248 0.497
Ca1 0.000 0.000 0.000
Y1 0.250 0.750 0.500
Y2 0.500 0.500 0.000
Se3 0.752 0.752 0.503
Y3 0.750 0.250 0.500
Se4 0.000 0.500 0.000



In terms of stability, *two* leads; the second structure lies 5 meV per atom higher.



*one*
# CaZnSe, relaxed, DFT PBE-GGA
# Calculated volume: 77.0 Å³ per cell
# Magnetization: 0.00 μB/cell
data_CaZnSe
_chemical_formula_sum 'Ca1 Zn1 Se1'
_space_group_name_H-M_alt 'P 1'
_space_group_IT_number 1
_space_group_name_Hall 'P 1'
_cell_length_a 4.084
_cell_length_b 4.084
_cell_length_c 5.333
_cell_angle_alpha 90.00
_cell_angle_beta 90.00
_cell_angle_gamma 120.00
loop_
_atom_site_label
_atom_site_fract_x
_atom_site_fract_y
_atom_site_fract_z
Ca1 0.000 0.000 0.028
Se1 0.667 0.333 0.349
Zn1 0.333 0.667 0.623



*two*
# CaZnSe, relaxed, DFT PBE-GGA
# Calculated volume: 83.7 Å³ per cell
# Magnetization: 0.00 μB/cell
data_CaZnSe
_chemical_formula_sum 'Ca1 Zn1 Se1'
_space_group_name_H-M_alt 'P 1'
_space_group_IT_number 1
_space_group_name_Hall 'P 1'
_cell_length_a 4.910
_cell_length_b 4.910
_cell_length_c 4.910
_cell_angle_alpha 60.00
_cell_angle_beta 60.00
_cell_angle_gamma 60.00
loop_
_atom_site_label
_atom_site_fract_x
_atom_site_fract_y
_atom_site_fract_z
Ca1 0.250 0.250 0.250
Se1 0.000 0.000 0.000
Zn1 0.500 0.500 0.500



*three*
# CaZnSe, relaxed, DFT PBE-GGA
# DOS at the Fermi energy: 1.47 states/eV/cell
# Calculated volume: 88.9 Å³ per cell
# Magnetization: 0.00 μB/cell
data_CaZnSe
_chemical_formula_sum 'Ca1 Zn1 Se1'
_space_group_name_H-M_alt 'P 1'
_space_group_IT_number 1
_space_group_name_Hall 'P 1'
_cell_length_a 5.009
_cell_length_b 5.009
_cell_length_c 5.009
_cell_angle_alpha 60.00
_cell_angle_beta 60.00
_cell_angle_gamma 60.00
loop_
_atom_site_label
_atom_site_fract_x
_atom_site_fract_y
_atom_site_fract_z
Ca1 0.500 0.500 0.500
Se1 0.250 0.250 0.250
Zn1 0.000 0.000 0.000



*four*
# CaZnSe, relaxed, DFT PBE-GGA
# DOS at the Fermi energy: 0.27 states/eV/cell
# Calculated volume: 70.3 Å³ per cell
# Magnetization: 0.00 μB/cell
data_CaZnSe
_chemical_formula_sum 'Ca1 Zn1 Se1'
_space_group_name_H-M_alt 'P 1'
_space_group_IT_number 1
_space_group_name_Hall 'P 1'
_cell_length_a 5.810
_cell_length_b 5.810
_cell_length_c 3.678
_cell_angle_alpha 71.55
_cell_angle_beta 71.55
_cell_angle_gamma 36.90
loop_
_atom_site_label
_atom_site_fract_x
_atom_site_fract_y
_atom_site_fract_z
Ca1 0.987 0.987 0.013
Zn1 0.683 0.683 0.317
Se1 0.330 0.330 0.670



In terms of stability, *one* leads; the second structure lies 114 meV per atom higher.



*one*
# CaZnSe3, relaxed, DFT PBE-GGA
# DOS at the Fermi energy: 4.72 states/eV/cell
# Calculated volume: 173.2 Å³ per cell
# Magnetization: 3.67 μB/cell
data_CaZnSe3
_chemical_formula_sum 'Ca1 Zn1 Se3'
_space_group_name_H-M_alt 'P 1'
_space_group_IT_number 1
_space_group_name_Hall 'P 1'
_cell_length_a 5.575
_cell_length_b 5.575
_cell_length_c 5.575
_cell_angle_alpha 90.00
_cell_angle_beta 90.00
_cell_angle_gamma 90.00
loop_
_atom_site_label
_atom_site_fract_x
_atom_site_fract_y
_atom_site_fract_z
Ca1 0.000 0.000 0.000
Se1 0.000 0.000 0.500
Se2 0.500 0.000 0.000
Se3 0.000 0.500 0.000
Zn1 0.500 0.500 0.500



*two*
# CaZnSe3, relaxed, DFT PBE-GGA
# DOS at the Fermi energy: 3.74 states/eV/cell
# Calculated volume: 124.1 Å³ per cell
# Magnetization: 0.00 μB/cell
data_CaZnSe3
_chemical_formula_sum 'Ca1 Zn1 Se3'
_space_group_name_H-M_alt 'P 1'
_space_group_IT_number 1
_space_group_name_Hall 'P 1'
_cell_length_a 4.988
_cell_length_b 4.988
_cell_length_c 4.988
_cell_angle_alpha 90.00
_cell_angle_beta 90.00
_cell_angle_gamma 90.00
loop_
_atom_site_label
_atom_site_fract_x
_atom_site_fract_y
_atom_site_fract_z
Ca1 0.500 0.500 0.500
Zn1 0.000 0.000 0.000
Se1 0.000 0.000 0.500
Se2 0.500 0.000 0.000
Se3 0.000 0.500 0.000



In terms of stability, *two* leads; the second structure lies 662 meV per atom higher.



*one*
# CaZrSe, relaxed, DFT PBE-GGA
# DOS at the Fermi energy: 4.81 states/eV/cell
# Calculated volume: 310.3 Å³ per cell
# Magnetization: 0.00 μB/cell
data_CaZrSe
_chemical_formula_sum 'Ca4 Zr4 Se4'
_space_group_name_H-M_alt 'P 1'
_space_group_IT_number 1
_space_group_name_Hall 'P 1'
_cell_length_a 4.261
_cell_length_b 3.803
_cell_length_c 19.149
_cell_angle_alpha 90.00
_cell_angle_beta 90.00
_cell_angle_gamma 90.00
loop_
_atom_site_label
_atom_site_fract_x
_atom_site_fract_y
_atom_site_fract_z
Zr1 0.500 0.500 0.712
Ca1 0.500 0.500 0.884
Zr2 0.000 0.000 0.734
Ca2 0.000 0.000 0.384
Se1 0.000 0.500 0.615
Zr3 0.500 0.500 0.234
Ca3 0.000 0.500 0.059
Zr4 0.000 0.000 0.212
Ca4 0.500 0.000 0.559
Se2 0.500 0.000 0.115
Se3 0.500 0.500 0.438
Se4 0.000 0.000 0.938



*two*
# CaZrSe, relaxed, DFT PBE-GGA
# DOS at the Fermi energy: 9.29 states/eV/cell
# Calculated volume: 304.0 Å³ per cell
# Magnetization: 0.00 μB/cell
data_CaZrSe
_chemical_formula_sum 'Ca4 Zr4 Se4'
_space_group_name_H-M_alt 'P 1'
_space_group_IT_number 1
_space_group_name_Hall 'P 1'
_cell_length_a 4.441
_cell_length_b 3.669
_cell_length_c 18.661
_cell_angle_alpha 90.00
_cell_angle_beta 90.00
_cell_angle_gamma 90.00
loop_
_atom_site_label
_atom_site_fract_x
_atom_site_fract_y
_atom_site_fract_z
Ca1 0.000 0.500 0.901
Se1 0.000 0.000 0.580
Ca2 0.000 0.000 0.401
Zr1 0.000 0.500 0.707
Se2 0.500 0.500 0.415
Se3 0.000 0.500 0.080
Ca3 0.500 0.000 0.069
Se4 0.500 0.000 0.915
Zr2 0.000 0.000 0.207
Zr3 0.500 0.000 0.769
Zr4 0.500 0.500 0.269
Ca4 0.500 0.500 0.569



*three*
# CaZrSe, relaxed, DFT PBE-GGA
# DOS at the Fermi energy: 1.56 states/eV/cell
# Calculated volume: 77.0 Å³ per cell
# Magnetization: 0.12 μB/cell
data_CaZrSe
_chemical_formula_sum 'Ca1 Zr1 Se1'
_space_group_name_H-M_alt 'P 1'
_space_group_IT_number 1
_space_group_name_Hall 'P 1'
_cell_length_a 3.694
_cell_length_b 3.694
_cell_length_c 6.517
_cell_angle_alpha 90.00
_cell_angle_beta 90.00
_cell_angle_gamma 120.00
loop_
_atom_site_label
_atom_site_fract_x
_atom_site_fract_y
_atom_site_fract_z
Ca1 0.000 0.000 0.045
Se1 0.333 0.667 0.349
Zr1 0.667 0.333 0.607



In terms of stability, *two* leads; the second structure lies 44 meV per atom higher.



*one*
# CaZrSe, relaxed, DFT PBE-GGA
# DOS at the Fermi energy: 3.39 states/eV/cell
# Calculated volume: 76.5 Å³ per cell
# Magnetization: 0.00 μB/cell
data_CaZrSe
_chemical_formula_sum 'Ca1 Zr1 Se1'
_space_group_name_H-M_alt 'P 1'
_space_group_IT_number 1
_space_group_name_Hall 'P 1'
_cell_length_a 4.662
_cell_length_b 4.662
_cell_length_c 4.062
_cell_angle_alpha 90.00
_cell_angle_beta 90.00
_cell_angle_gamma 120.00
loop_
_atom_site_label
_atom_site_fract_x
_atom_site_fract_y
_atom_site_fract_z
Se1 0.667 0.333 0.500
Zr1 0.333 0.667 0.500
Ca1 0.000 0.000 0.000



*two*
# CaZrSe, relaxed, DFT PBE-GGA
# DOS at the Fermi energy: 4.99 states/eV/cell
# Calculated volume: 153.2 Å³ per cell
# Magnetization: 0.95 μB/cell
data_CaZrSe
_chemical_formula_sum 'Ca2 Zr2 Se2'
_space_group_name_H-M_alt 'P 1'
_space_group_IT_number 1
_space_group_name_Hall 'P 1'
_cell_length_a 3.780
_cell_length_b 5.699
_cell_length_c 7.696
_cell_angle_alpha 100.85
_cell_angle_beta 90.30
_cell_angle_gamma 109.35
loop_
_atom_site_label
_atom_site_fract_x
_atom_site_fract_y
_atom_site_fract_z
Ca1 0.886 0.779 0.181
Se1 0.176 0.359 0.215
Zr1 0.370 0.739 0.541
Zr2 0.630 0.261 0.459
Se2 0.824 0.641 0.785
Ca2 0.114 0.221 0.819



In terms of stability, *two* leads; the second structure lies 452 meV per atom higher.



*one*
# CaZrSe, relaxed, DFT PBE-GGA
# DOS at the Fermi energy: 10.76 states/eV/cell
# Calculated volume: 281.3 Å³ per cell
# Magnetization: 1.73 μB/cell
data_CaZrSe
_chemical_formula_sum 'Ca4 Zr4 Se4'
_space_group_name_H-M_alt 'P 1'
_space_group_IT_number 1
_space_group_name_Hall 'P 1'
_cell_length_a 16.327
_cell_length_b 4.145
_cell_length_c 4.155
_cell_angle_alpha 90.00
_cell_angle_beta 90.00
_cell_angle_gamma 90.00
loop_
_atom_site_label
_atom_site_fract_x
_atom_site_fract_y
_atom_site_fract_z
Ca1 0.676 0.500 0.000
Se1 0.872 0.500 0.000
Zr1 0.000 0.500 0.500
Ca2 0.324 0.500 0.000
Se2 0.372 0.000 0.500
Se3 0.128 0.500 0.000
Zr2 0.000 0.000 0.000
Zr3 0.500 0.500 0.500
Zr4 0.500 0.000 0.000
Se4 0.628 0.000 0.500
Ca3 0.824 0.000 0.500
Ca4 0.176 0.000 0.500



*two*
# CaZrSe, relaxed, DFT PBE-GGA
# DOS at the Fermi energy: 4.85 states/eV/cell
# Calculated volume: 156.0 Å³ per cell
# Magnetization: 0.00 μB/cell
data_CaZrSe
_chemical_formula_sum 'Ca2 Zr2 Se2'
_space_group_name_H-M_alt 'P 1'
_space_group_IT_number 1
_space_group_name_Hall 'P 1'
_cell_length_a 3.897
_cell_length_b 9.477
_cell_length_c 4.223
_cell_angle_alpha 90.00
_cell_angle_beta 90.00
_cell_angle_gamma 90.00
loop_
_atom_site_label
_atom_site_fract_x
_atom_site_fract_y
_atom_site_fract_z
Zr1 0.500 0.564 0.500
Se1 0.500 0.851 0.500
Ca1 0.000 0.830 0.000
Se2 0.000 0.149 0.000
Ca2 0.500 0.170 0.500
Zr2 0.000 0.436 0.000



*three*
# CaZrSe, relaxed, DFT PBE-GGA
# DOS at the Fermi energy: 5.74 states/eV/cell
# Calculated volume: 152.9 Å³ per cell
# Magnetization: 0.00 μB/cell
data_CaZrSe
_chemical_formula_sum 'Ca2 Zr2 Se2'
_space_group_name_H-M_alt 'P 1'
_space_group_IT_number 1
_space_group_name_Hall 'P 1'
_cell_length_a 4.344
_cell_length_b 3.619
_cell_length_c 9.726
_cell_angle_alpha 90.00
_cell_angle_beta 90.00
_cell_angle_gamma 90.00
loop_
_atom_site_label
_atom_site_fract_x
_atom_site_fract_y
_atom_site_fract_z
Zr1 0.500 0.500 0.457
Se1 0.000 0.000 0.888
Zr2 0.000 0.000 0.585
Se2 0.500 0.000 0.226
Ca1 0.500 0.500 0.810
Ca2 0.000 0.500 0.151



*four*
# CaZrSe, relaxed, DFT PBE-GGA
# DOS at the Fermi energy: 1.90 states/eV/cell
# Calculated volume: 74.7 Å³ per cell
# Magnetization: 1.82 μB/cell
data_CaZrSe
_chemical_formula_sum 'Ca1 Zr1 Se1'
_space_group_name_H-M_alt 'P 1'
_space_group_IT_number 1
_space_group_name_Hall 'P 1'
_cell_length_a 4.728
_cell_length_b 4.728
_cell_length_c 4.728
_cell_angle_alpha 60.00
_cell_angle_beta 60.00
_cell_angle_gamma 60.00
loop_
_atom_site_label
_atom_site_fract_x
_atom_site_fract_y
_atom_site_fract_z
Se1 0.750 0.750 0.750
Zr1 0.000 0.000 0.000
Ca1 0.500 0.500 0.500



In terms of stability, *two* leads; the second structure lies 74 meV per atom higher.